Entry from the Open Quantum Materials Database: crystalline CsFeNiSe3 at its relaxed geometry (PBE-GGA).

Its symmetry is Cmcm, No. 63. The energy above the most stable polymorph in this dataset comes out at 15 meV per atom. Its size of the total moment is 4.357 Bohr magnetons per cell.

Cell and atoms, written as CIF:
```
data_CsFeNiSe3
_chemical_formula_sum 'Cs2 Fe2 Ni2 Se6'
_cell_length_a 8.339
_cell_length_b 8.339
_cell_length_c 9.726
_cell_angle_alpha 90.00
_cell_angle_beta 90.00
_cell_angle_gamma 154.60
_symmetry_space_group_name_H-M 'P 1'
_symmetry_Int_Tables_number 1
loop_
_symmetry_equiv_pos_as_xyz
'x,y,z'
loop_
_atom_site_label
_atom_site_type_symbol
_atom_site_fract_x
_atom_site_fract_y
_atom_site_fract_z
Fe1 Fe 0.500 0.500 0.000
Fe2 Fe 0.500 0.500 0.500
Se1 Se 0.441 0.559 0.250
Se2 Se 0.099 0.901 0.457
Se3 Se 0.559 0.441 0.750
Se4 Se 0.901 0.099 0.957
Se5 Se 0.901 0.099 0.543
Se6 Se 0.099 0.901 0.043
Cs1 Cs 0.255 0.745 0.750
Cs2 Cs 0.745 0.255 0.250
Ni1 Ni 0.028 0.972 0.250
Ni2 Ni 0.972 0.028 0.750
```